[1]
First-principles (GGA-PBE) data for a relaxed BaOs2W crystal, as listed in the Alexandria database.

Computed properties:
Symmetry: Immm, No. 71

a b c (Å): 5.8173 5.8173 5.8173
angles (deg): 149.16 122.04 67.11
Element x y z (fractional)
Os  0.9552  0.9552  0.0000
Os  0.5448  0.5448  0.0000
Ba  0.2500  0.7500  0.5000
W  0.7500  0.2500  0.5000

[2]
First-principles (GGA-PBE) data for a relaxed BaOs2W crystal, as listed in the Alexandria database.

Computed properties:
Symmetry: Pm, No. 6

a b c (Å): 4.1089 3.7869 6.7176
angles (deg): 76.50 90.00 90.00
Element x y z (fractional)
Os  0.0000  0.1211  0.0894
Os  0.5000  0.0936  0.2959
Ba  0.5000  0.7528  0.7858
W  0.0000  0.5325  0.3289

[3]
First-principles (GGA-PBE) data for a relaxed BaOs2W crystal, as listed in the Alexandria database.

Computed properties:
Symmetry: Imm2, No. 44

a b c (Å): 6.1154 6.1154 6.1154
angles (deg): 152.92 128.66 58.99
Element x y z (fractional)
Os  0.9589  0.9589  0.0000
Os  0.7551  0.2551  0.5000
Ba  0.2465  0.7465  0.5000
W  0.5395  0.5395  0.0000

[4]
First-principles (GGA-PBE) data for a relaxed BaOs2W crystal, as listed in the Alexandria database.

Computed properties:
Symmetry: Cmmm, No. 65

a b c (Å): 5.1719 5.1719 2.9282
angles (deg): 90.00 90.00 99.80
Element x y z (fractional)
Os  0.0000  0.0000  0.0000
Os  0.5000  0.5000  0.0000
Ba  0.0000  0.5000  0.5000
W  0.5000  0.0000  0.5000

[5]
First-principles (GGA-PBE) data for a relaxed BaOs3W crystal, as listed in the Alexandria database.

Computed properties:
Symmetry: Pm-3m, No. 221

a b c (Å): 4.8672 4.8672 4.8672
angles (deg): 90.00 90.00 90.00
Element x y z (fractional)
Os  0.0000  0.5000  0.0000
Os  0.0000  0.0000  0.5000
Os  0.5000  0.0000  0.0000
Ba  0.5000  0.5000  0.5000
W  0.0000  0.0000  0.0000

[6]
First-principles (GGA-PBE) data for a relaxed Ba3OsW crystal, as listed in the Alexandria database.

Computed properties:
Symmetry: Pm-3m, No. 221

a b c (Å): 5.9039 5.9039 5.9039
angles (deg): 90.00 90.00 90.00
Last column: magnetic moment on the atom in μB.
Element x y z (fractional)
Os  0.0000  0.0000  0.0000  0.18
Ba  0.0000  0.5000  0.0000  0.03
Ba  0.0000  0.0000  0.5000  0.03
Ba  0.5000  0.0000  0.0000  0.03
W  0.5000  0.5000  0.5000  3.25

Ordered total magnetic moment results: 0.0; 0.0; 0.0; 0.0; 0.0; 5.3; unit Bohr magnetons per cell.
Ordered formation energy from the elements results: 1.266; 0.915; 1.179; 1.509; 1.524; 1.467; unit eV per atom.